a) This record from the Alexandria database describes KZr3Nb after structural relaxation. The functional is GGA-PBE.

```
KZr3Nb
1.0
4.8602 0.0000 0.0000
0.0000 4.8602 0.0000
0.0000 0.0000 4.8602
K Zr Nb
1 3 1
Direct
0.0000 0.0000 0.0000
0.0000 0.0000 0.5000
0.0000 0.5000 0.0000
0.5000 0.0000 0.0000
0.5000 0.5000 0.5000
```

- total magnetic moment (μB per cell) = 0.000

b) This record from the Alexandria database describes KZr3Nb after structural relaxation. The functional is GGA-PBE.

```
KZr3Nb
1.0
5.3085 0.0000 0.0000
0.0000 5.3085 0.0000
0.0000 0.0000 5.3085
K Zr Nb
1 3 1
Direct
0.0000 0.0000 0.0000
0.0000 0.5000 0.5000
0.5000 0.0000 0.5000
0.5000 0.5000 0.0000
0.5000 0.5000 0.5000
```

- total magnetic moment (μB per cell) = 0.537

Most stable = b)

a) This record from the Alexandria database describes K2ZrNb after structural relaxation. The functional is GGA-PBE.

```
K2ZrNb
1.0
-6.2481 6.2481 2.4940
6.2481 -6.2481 2.4940
6.2481 6.2481 -2.4940
K Zr Nb
4 2 2
Direct
0.3750 0.0048 0.1298
0.7548 0.6250 0.6298
0.8750 0.2452 0.8702
0.9952 0.1250 0.3702
0.2500 0.7500 0.5000
0.5000 0.5000 0.0000
0.0000 0.0000 0.0000
0.7500 0.2500 0.5000
```

- total magnetic moment (μB per cell) = 4.252

b) This record from the Alexandria database describes K2ZrNb after structural relaxation. The functional is GGA-PBE.

```
K2ZrNb
1.0
0.0000 4.0439 4.0439
4.0439 0.0000 4.0439
4.0439 4.0439 0.0000
K Zr Nb
2 1 1
Direct
0.2500 0.2500 0.2500
0.7500 0.7500 0.7500
0.0000 0.0000 0.0000
0.5000 0.5000 0.5000
```

- total magnetic moment (μB per cell) = 1.809

Most stable = a)